Record 1
# PrHfPa

Crystalline PrHfPa at its relaxed geometry (GGA-PBE, Alexandria).

DOS at the Fermi energy, states/eV/atom: 1.934
Total DFT energy (no corrections), eV per atom: -7.546
Mass density, g/cm³: 9.55

Structure (POSCAR):
```
PrHfPa
1.0
-3.3362 1.3579 -3.4275
4.2916 -1.7423 -1.8079
-3.6965 -7.7284 2.6154
Pr Hf Pa
2 2 2
direct
0.6872 0.6872 0.3746
0.3128 0.3128 0.6254
0.9165 0.9165 0.8327
0.0835 0.0835 0.1673
0.3363 0.6637 0.0000
0.6637 0.3363 0.0000
```

---

Record 2
# Y4ErSe6

Crystalline Y4ErSe6 at its relaxed geometry (GGA-PBE, Alexandria).

Formation energy (no corrections), kJ per mole of atoms: -175.50
DOS at the Fermi energy, states/eV/atom: 0.280
Total DFT energy (no corrections), eV per atom: -6.485
Mass density, g/cm³: 5.98

Structure (POSCAR):
```
Y4ErSe6
1.0
-0.0385 -3.5920 -1.7104
1.9711 -0.9795 6.6400
-19.8522 -2.4231 5.5357
Y Er Se
8 2 12
direct
0.8591 0.7182 0.5384
0.4108 0.8216 0.1275
0.1409 0.2818 0.4616
0.5892 0.1784 0.8725
0.8591 0.7182 0.9616
0.1409 0.2818 0.0384
0.5892 0.1784 0.6275
0.4108 0.8216 0.3725
0.6520 0.3040 0.2500
0.3480 0.6960 0.7500
0.5000 0.0000 0.0000
0.5000 0.0000 0.5000
0.0543 0.1087 0.3326
0.9457 0.8913 0.6674
0.9457 0.8913 0.8326
0.0543 0.1087 0.1674
0.7695 0.5389 0.4091
0.2305 0.4611 0.5909
0.2305 0.4611 0.9091
0.7695 0.5389 0.0909
0.3061 0.6121 0.2500
0.6939 0.3879 0.7500
```

---

Record 3
# BeAs4Cl

Crystalline BeAs4Cl at its relaxed geometry (GGA-PBE, Alexandria).

Formation energy (no corrections), kJ per mole of atoms: 52.56
DOS at the Fermi energy, states/eV/atom: 0.402
Total DFT energy (no corrections), eV per atom: -3.484
Mass density, g/cm³: 4.14

Structure (POSCAR):
```
BeAs4Cl
1.0
0.0000 4.1026 4.1026
4.1026 0.0000 4.1026
4.1026 4.1026 0.0000
Be As Cl
1 4 1
direct
0.7500 0.7500 0.7500
0.9268 0.3577 0.3577
0.3577 0.3577 0.9268
0.3577 0.9268 0.3577
0.3577 0.3577 0.3577
0.0000 0.0000 0.0000
```

---

Record 4
# TlP2Rh

Crystalline TlP2Rh at its relaxed geometry (GGA-PBE, Alexandria).

DOS at the Fermi energy, states/eV/atom: 0.618
Total DFT energy (no corrections), eV per atom: -4.577
Mass density, g/cm³: 8.84
Energy above the most stable polymorph in this dataset, meV/atom: 725.3

Structure (POSCAR):
```
TlP2Rh
1.0
-3.8032 1.4791 -2.7855
-1.6667 -4.0270 -2.3273
0.8814 0.7419 4.8046
P Rh Tl
2 1 1
direct
0.0000 0.0000 0.0000
0.2500 0.7500 0.5000
0.5000 0.5000 0.0000
0.7500 0.2500 0.5000
```

---

Record 5
# BeCrIn2

Crystalline BeCrIn2 at its relaxed geometry (GGA-PBE, Alexandria).

DOS at the Fermi energy, states/eV/atom: 0.522
Total DFT energy (no corrections), eV per atom: -4.258
Mass density, g/cm³: 6.76

Structure (POSCAR):
```
BeCrIn2
1.0
4.3272 0.0000 0.0000
0.0000 3.2701 -0.0092
0.0000 -0.1281 5.0428
Cr Be In
1 1 2
direct
0.5000 0.6342 0.7735
0.0000 0.6109 0.4876
0.0000 0.1387 0.9175
0.5000 0.1162 0.3214
```

---

Record 6
# AgW2Au

Crystalline AgW2Au at its relaxed geometry (GGA-PBE, Alexandria).

DOS at the Fermi energy, states/eV/atom: 0.370
Total DFT energy (no corrections), eV per atom: -7.415
Mass density, g/cm³: 16.77
Energy above the most stable polymorph in this dataset, meV/atom: 303.8

Structure (POSCAR):
```
AgW2Au
1.0
-4.0997 2.6076 0.5978
-2.9652 -2.6162 2.8857
4.6862 1.2812 0.6015
Au Ag W
1 1 2
direct
0.7500 0.2500 0.5000
0.5000 0.5000 0.0000
0.0000 0.0000 0.0000
0.2500 0.7500 0.5000
```

---

Record 7
# Ac2Ga6Tc

Crystalline Ac2Ga6Tc at its relaxed geometry (GGA-PBE, Alexandria).

DOS at the Fermi energy, states/eV/atom: 0.470
Total DFT energy (no corrections), eV per atom: -4.510
Mass density, g/cm³: 8.12

Structure (POSCAR):
```
Ac2Ga6Tc
1.0
5.7944 -0.0298 -0.0172
0.0325 6.2890 0.0065
0.0325 3.1389 5.4496
Ac Ga Tc
2 6 1
direct
0.8165 0.6667 0.6667
0.1835 0.3333 0.3333
0.3206 0.3304 0.8348
0.3206 0.8348 0.8348
0.3206 0.8348 0.3304
0.6794 0.6696 0.1652
0.6794 0.1652 0.1652
0.6794 0.1652 0.6696
0.0000 0.0000 0.0000
```

---

Record 8
# SbIr2Au

Crystalline SbIr2Au at its relaxed geometry (GGA-PBE, Alexandria).

Formation energy (no corrections), kJ per mole of atoms: 36.09
DOS at the Fermi energy, states/eV/atom: 0.667
Total DFT energy (no corrections), eV per atom: -5.906
Mass density, g/cm³: 16.84

Structure (POSCAR):
```
SbIr2Au
1.0
5.5028 0.0022 0.0029
2.4613 4.9217 -0.0029
-3.2764 -3.6033 2.5618
Au Ir Sb
1 2 1
direct
0.2500 0.7500 0.5000
0.9857 0.9857 0.0000
0.5143 0.5143 0.0000
0.7500 0.2500 0.5000
```

---

Record 9
# Al2CoTe

Crystalline Al2CoTe at its relaxed geometry (GGA-PBE, Alexandria).

Formation energy (no corrections), kJ per mole of atoms: 9.17
DOS at the Fermi energy, states/eV/atom: 0.536
Total DFT energy (no corrections), eV per atom: -4.338
Mass density, g/cm³: 5.44

Structure (POSCAR):
```
Al2CoTe
1.0
-1.6439 -3.7499 1.4151
1.4807 -2.7847 2.9699
-2.6253 1.5281 4.3274
Te Co Al
1 1 2
direct
0.2500 0.2500 0.2500
0.7500 0.7500 0.7500
0.0346 0.0346 0.9021
0.4654 0.4654 0.5979
```

---

Record 10
# InReBr

Crystalline InReBr at its relaxed geometry (GGA-PBE, Alexandria).

Formation energy (no corrections), kJ per mole of atoms: 70.37
DOS at the Fermi energy, states/eV/atom: 1.280
Total DFT energy (no corrections), eV per atom: -4.890
Mass density, g/cm³: 9.98
Energy above the most stable polymorph in this dataset, meV/atom: 0.0

Structure (POSCAR):
```
InReBr
1.0
-1.1028 2.4905 1.4791
0.3534 -2.6764 1.5226
7.1002 2.0170 1.8974
Re Br In
1 1 1
direct
0.3333 0.6667 0.6896
0.0000 0.0000 0.9339
0.6667 0.3333 0.3766
```

---

Record 11
# AgHg2SeO4

Crystalline AgHg2SeO4 at its relaxed geometry (GGA-PBE, Alexandria).

Formation energy (no corrections), kJ per mole of atoms: -22.23
DOS at the Fermi energy, states/eV/atom: 0.246
Total DFT energy (no corrections), eV per atom: -3.577
Mass density, g/cm³: 8.07

Structure (POSCAR):
```
AgHg2SeO4
1.0
7.2267 -1.1040 0.0074
-1.1091 7.2259 0.0074
-3.0084 -3.0105 5.2515
Ag Hg Se O
2 4 2 8
direct
0.0000 0.5000 0.0000
0.0000 0.5000 0.5000
0.5000 0.0000 0.0000
0.5000 0.0000 0.5000
0.0000 0.0000 0.5000
0.5000 0.5000 0.0000
0.5000 0.5000 0.5000
0.0000 0.0000 0.0000
0.1496 0.8645 0.8417
0.6355 0.3504 0.6583
0.3645 0.6496 0.3417
0.8504 0.1355 0.1583
0.0511 0.8605 0.2115
0.6395 0.4489 0.2885
0.3605 0.5511 0.7115
0.9489 0.1395 0.7885
```

---

Record 12
# Na3Al2Ag7

Crystalline Na3Al2Ag7 at its relaxed geometry (GGA-PBE, Alexandria).

DOS at the Fermi energy, states/eV/atom: 0.233
Total DFT energy (no corrections), eV per atom: -2.689
Mass density, g/cm³: 5.81

Structure (POSCAR):
```
Na3Al2Ag7
1.0
5.4211 0.0000 1.6968
2.4450 4.8384 1.6968
-0.0156 -0.0096 9.5584
Na Al Ag
3 2 7
direct
0.0000 0.0000 0.0000
0.8568 0.8568 0.4297
0.1432 0.1432 0.5703
0.6673 0.6673 0.9981
0.3327 0.3327 0.0019
0.5000 0.5000 0.5000
0.9215 0.4204 0.2377
0.4204 0.9215 0.2377
0.4204 0.4204 0.2377
0.0785 0.5796 0.7623
0.5796 0.5796 0.7623
0.5796 0.0785 0.7623
```

---

Record 13
# Nd3Al2O8

Crystalline Nd3Al2O8 at its relaxed geometry (GGA-PBE, Alexandria).

Formation energy (no corrections), kJ per mole of atoms: -282.96
DOS at the Fermi energy, states/eV/atom: 0.873
Total DFT energy (no corrections), eV per atom: -7.660
Mass density, g/cm³: 5.90

Structure (POSCAR):
```
Nd3Al2O8
1.0
5.5953 0.0000 0.0000
2.7977 4.8457 0.0000
2.7977 1.6152 6.3805
Nd Al O
3 2 8
direct
0.0000 0.0000 0.0000
0.8005 0.8005 0.5985
0.1995 0.1995 0.4015
0.5924 0.5924 0.2229
0.4076 0.4076 0.7771
0.6836 0.6836 0.9491
0.3164 0.3164 0.0509
0.2190 0.7367 0.3077
0.7367 0.2190 0.3077
0.7367 0.7367 0.3077
0.2633 0.7810 0.6923
0.7810 0.2633 0.6923
0.2633 0.2633 0.6923
```

---

Record 14
# Cu2TcI

Crystalline Cu2TcI at its relaxed geometry (GGA-PBE, Alexandria).

Formation energy (no corrections), kJ per mole of atoms: 62.82
DOS at the Fermi energy, states/eV/atom: 0.578
Total DFT energy (no corrections), eV per atom: -4.376
Mass density, g/cm³: 7.45
Energy above the most stable polymorph in this dataset, meV/atom: 455.7

Structure (POSCAR):
```
Cu2TcI
1.0
-3.1351 5.6412 -1.5647
-2.9736 -1.4732 0.6468
1.6656 -0.1638 7.2843
I Tc Cu
2 2 4
direct
0.8885 0.0000 0.7815
0.8885 0.5000 0.2815
0.6470 0.0000 0.4026
0.6470 0.5000 0.9026
0.3227 0.0000 0.8953
0.3227 0.5000 0.3953
0.4346 0.0000 0.6320
0.4346 0.5000 0.1320
```

---

Record 15
# B2C

Crystalline B2C at its relaxed geometry (GGA-PBE, Alexandria).

DOS at the Fermi energy, states/eV/atom: 0.181
Total DFT energy (no corrections), eV per atom: -7.108
Mass density, g/cm³: 2.71
Energy above the most stable polymorph in this dataset, meV/atom: 232.6

Structure (POSCAR):
```
B2C
1.0
-2.5396 -0.1089 -0.2091
0.2089 -1.5036 -1.7543
-0.2910 -10.6066 9.0562
B C
8 4
direct
0.5000 0.5000 0.8397
0.5000 0.0000 0.9376
0.5000 0.5000 0.4938
0.0000 0.0000 0.6477
0.0000 0.5000 0.7476
0.5000 0.5000 0.1493
0.5000 0.0000 0.2496
0.0000 0.0000 0.3419
0.5000 0.0000 0.5794
0.0000 0.5000 0.4242
0.0000 0.0000 0.0135
0.0000 0.5000 0.0757
```

---

Record 16
# GaHg2Au2

Crystalline GaHg2Au2 at its relaxed geometry (GGA-PBE, Alexandria).

DOS at the Fermi energy, states/eV/atom: 0.394
Total DFT energy (no corrections), eV per atom: -2.029
Mass density, g/cm³: 12.64
Energy above the most stable polymorph in this dataset, meV/atom: 0.0

Structure (POSCAR):
```
GaHg2Au2
1.0
-1.7484 -0.9123 -3.2226
3.4780 -5.5087 1.8872
-7.3033 -2.9659 4.8020
Ga Hg Au
2 4 4
direct
0.5882 0.1763 0.9760
0.4118 0.8237 0.4760
0.8735 0.7470 0.1444
0.2962 0.5923 0.8728
0.1265 0.2530 0.6444
0.7038 0.4077 0.3728
0.1787 0.3573 0.1313
0.9715 0.9429 0.8608
0.8213 0.6427 0.6313
0.0285 0.0571 0.3608
```

---

Record 17
# Sc2TlAs

Crystalline Sc2TlAs at its relaxed geometry (GGA-PBE, Alexandria).

DOS at the Fermi energy, states/eV/atom: 0.807
Total DFT energy (no corrections), eV per atom: -5.544
Mass density, g/cm³: 7.00
Energy above the most stable polymorph in this dataset, meV/atom: 173.6

Structure (POSCAR):
```
Sc2TlAs
1.0
-0.2329 0.6395 3.4904
-1.6063 -2.9321 0.4300
5.3220 -5.3439 1.3341
As Sc Tl
1 2 1
direct
0.5000 0.7500 0.7500
0.0000 0.9580 0.9676
0.0000 0.5420 0.5324
0.5000 0.2500 0.2500
```

---

Record 18
# LiV2S4

Crystalline LiV2S4 at its relaxed geometry (GGA-PBE, Alexandria).

Formation energy (no corrections), kJ per mole of atoms: -98.38
DOS at the Fermi energy, states/eV/atom: 0.541
Total DFT energy (no corrections), eV per atom: -6.257
Mass density, g/cm³: 3.38
Energy above the most stable polymorph in this dataset, meV/atom: 0.0

Structure (POSCAR):
```
LiV2S4
1.0
-2.1629 -2.3775 -0.4709
4.2923 -3.6766 -1.1530
-0.9568 1.7242 6.8938
Li V S
1 2 4
direct
0.0000 0.0000 0.0000
0.7468 0.7814 0.4937
0.2532 0.2186 0.5063
0.8739 0.2177 0.7478
0.1261 0.7823 0.2522
0.6449 0.3037 0.2898
0.3551 0.6963 0.7102
```

---

Record 19
# MoPb

Crystalline MoPb at its relaxed geometry (GGA-PBE, Alexandria).

DOS at the Fermi energy, states/eV/atom: 0.820
Total DFT energy (no corrections), eV per atom: -5.367
Mass density, g/cm³: 6.37
Energy above the most stable polymorph in this dataset, meV/atom: 1576.9

Structure (POSCAR):
```
MoPb
1.0
-7.7783 0.3001 0.4609
-0.5238 -2.0503 -7.5051
-0.1677 -7.5174 2.0654
Mo Pb
6 6
direct
0.2500 0.5000 0.0000
0.7500 0.5000 0.0000
0.5000 0.0000 0.2500
0.5000 0.0000 0.7500
0.0000 0.2500 0.5000
0.0000 0.7500 0.5000
0.2500 0.0000 0.5000
0.7500 0.0000 0.5000
0.0000 0.5000 0.2500
0.0000 0.5000 0.7500
0.5000 0.2500 0.0000
0.5000 0.7500 0.0000
```

---

Record 20
# KURhN3

Crystalline KURhN3 at its relaxed geometry (GGA-PBE, Alexandria).

Formation energy (no corrections), kJ per mole of atoms: -52.54
DOS at the Fermi energy, states/eV/atom: 0.736
Total DFT energy (no corrections), eV per atom: -7.997
Mass density, g/cm³: 6.02

Structure (POSCAR):
```
KURhN3
1.0
-0.3531 -0.1053 3.5396
3.4759 -6.5945 0.1505
6.1056 7.1284 0.8212
K U Rh N
2 2 2 6
direct
0.2500 0.2126 0.1951
0.7500 0.7874 0.8049
0.2500 0.6851 0.1388
0.7500 0.3149 0.8612
0.2500 0.0294 0.6137
0.7500 0.9706 0.3863
0.7500 0.8597 0.1441
0.2500 0.1403 0.8559
0.2500 0.8422 0.3864
0.7500 0.1578 0.6136
0.7500 0.4817 0.1082
0.2500 0.5183 0.8918
```

---

Record 21
# SrMg5In6

Crystalline SrMg5In6 at its relaxed geometry (GGA-PBE, Alexandria).

DOS at the Fermi energy, states/eV/atom: 0.440
Total DFT energy (no corrections), eV per atom: -2.312
Mass density, g/cm³: 4.97

Structure (POSCAR):
```
SrMg5In6
1.0
-1.4981 3.0024 -3.3865
-1.4380 -3.9067 -6.1831
-8.4146 -1.1621 2.6909
Sr Mg In
1 5 6
direct
0.0000 0.0000 0.0000
0.6682 0.6635 0.5000
0.3216 0.3567 0.0000
0.0000 0.0000 0.5000
0.6784 0.6433 0.0000
0.3318 0.3365 0.5000
0.8283 0.3436 0.2623
0.8281 0.3436 0.7377
0.5000 0.0000 0.7321
0.5000 0.0000 0.2679
0.1719 0.6564 0.2623
0.1717 0.6564 0.7377
```

---

Record 22
# SnGeMo2

Crystalline SnGeMo2 at its relaxed geometry (GGA-PBE, Alexandria).

DOS at the Fermi energy, states/eV/atom: 0.807
Total DFT energy (no corrections), eV per atom: -7.053
Mass density, g/cm³: 8.18
Energy above the most stable polymorph in this dataset, meV/atom: 262.4

Structure (POSCAR):
```
SnGeMo2
1.0
-1.3558 -1.3413 3.5702
1.1656 -3.7535 -0.9675
8.4259 -0.8953 5.1579
Mo Ge Sn
4 2 2
direct
0.5593 0.1250 0.2500
0.1907 0.6250 0.2500
0.3750 0.4407 0.7500
0.8750 0.8093 0.7500
0.5000 0.5000 0.0000
0.2500 0.7500 0.5000
0.0000 0.0000 0.0000
0.7500 0.2500 0.5000
```

---

Record 23
# Rb3UTe4

Crystalline Rb3UTe4 at its relaxed geometry (GGA-PBE, Alexandria).

Formation energy (no corrections), kJ per mole of atoms: -87.95
DOS at the Fermi energy, states/eV/atom: 0.371
Total DFT energy (no corrections), eV per atom: -4.256
Mass density, g/cm³: 4.73
Energy above the most stable polymorph in this dataset, meV/atom: 0.0

Structure (POSCAR):
```
Rb3UTe4
1.0
8.1811 -0.0744 0.0000
-2.9311 8.5360 0.0000
0.0000 0.0000 10.1394
Te U Rb
8 2 6
direct
0.9539 0.2184 0.6797
0.4999 0.1863 0.9011
0.4539 0.2184 0.3203
0.9999 0.1863 0.0989
0.0001 0.8137 0.9011
0.5461 0.7816 0.6797
0.5001 0.8137 0.0989
0.0461 0.7816 0.3203
0.7500 0.0000 0.8819
0.2500 0.0000 0.1181
0.7500 0.0000 0.3876
0.2500 0.0000 0.6124
0.7500 0.5000 0.6116
0.7500 0.5000 0.1110
0.2500 0.5000 0.3884
0.2500 0.5000 0.8890
```